A geometry-optimized LiZn6Cu12 structure. Source: Alexandria, functional PBE-GGA.

Output
- ΔH_f (0 K): -0.006 eV/atom
- N(E_F): 0.24 states/eV per atom

Unit cell a=8.8985 b=8.8985 c=10.7704 alpha=90.00 beta=90.00 gamma=120.00
Last column: nearest neighbours and their distance in Å.
Space group R-3 (No. 148, hexagonal axes)
One atom of each set of equivalent atoms:
Li 0.0000 0.0000 0.0000  6 Zn 2.52, 6 Cu 2.52
Zn 0.0255 0.4326 0.7080  9 Cu 2.48-2.74, 1 Li 2.52, 2 Zn 2.63
Cu 0.0356 0.1812 0.8104  4 Cu 2.50-2.59, 1 Li 2.52, 5 Zn 2.54-2.74
Cu 0.0605 0.8545 0.4109  4 Zn 2.48-2.61, 4 Cu 2.50-2.69